This record from Alexandria describes crystalline BaInIrO6 at its relaxed geometry. The functional is PBE.

crystal system: trigonal

Cell: 5.5410 5.5410 5.6501 Å, 90.00 90.00 120.00°
Space group P312 (No. 149)
One atom of each set of equivalent atoms:
Ba  0.0000  0.0000  0.0000 (multiplicity 1)
In  0.3333  0.6667  0.5000 (multiplicity 1)
Ir  0.6667  0.3333  0.5000 (multiplicity 1)
O  0.3989  0.0351  0.6965 (multiplicity 6)



This record from Alexandria describes crystalline Ba2InIrO6 at its relaxed geometry. The functional is PBE.

crystal system: trigonal

Cell: 5.9414 5.9414 14.7842 Å, 90.00 90.00 120.00°
Space group P-3m1 (No. 164)
One atom of each set of equivalent atoms:
Ba  0.0000  0.0000  0.2466 (multiplicity 2)
Ba  0.3333  0.6667  0.0944 (multiplicity 2)
Ba  0.3333  0.6667  0.4055 (multiplicity 2)
In  0.0000  0.0000  0.0000 (multiplicity 1)
In  0.3333  0.6667  0.6523 (multiplicity 2)
Ir  0.0000  0.0000  0.5000 (multiplicity 1)
Ir  0.3333  0.6667  0.8429 (multiplicity 2)
O  0.0259  0.5129  0.7578 (multiplicity 6)
O  0.1569  0.3138  0.5782 (multiplicity 6)
O  0.1707  0.3414  0.9152 (multiplicity 6)



This record from Alexandria describes crystalline Ba6In2IrO at its relaxed geometry. The functional is PBE.

crystal system: orthorhombic

Cell: 8.232 11.647 8.232 Å, 90.00 90.00 90.00°
Space group Pmmn (No. 59, origin choice 2)
One atom of each set of equivalent atoms:
Ba  0.009  0.250  0.010 (multiplicity 4)
Ba  0.010  0.250  0.491 (multiplicity 4)
Ba  0.250  0.009  0.250 (multiplicity 4)
In  0.250  0.000  0.750 (multiplicity 4)
Ir  0.250  0.750  0.250 (multiplicity 2)
O  0.250  0.250  0.250 (multiplicity 2)



This record from Alexandria describes crystalline BaIn2IrO8 at its relaxed geometry. The functional is PBE.

crystal system: triclinic

Cell: 4.524 5.129 7.141 Å, 87.58 80.46 89.66°
Space group P-1 (No. 2)
One atom of each set of equivalent atoms:
Ba  0.000  0.000  0.000 (multiplicity 1)
In  0.467  0.506  0.269 (multiplicity 2)
Ir  0.000  0.000  0.500 (multiplicity 1)
O  0.201  0.811  0.667 (multiplicity 2)
O  0.238  0.317  0.525 (multiplicity 2)
O  0.242  0.486  0.005 (multiplicity 2)
O  0.301  0.901  0.283 (multiplicity 2)



| no. | E_tot (eV/atom) | uncorrected formation energy (kJ/mol of atoms) |
| --- | --- | --- |
| 1 | -6.14 | -129 |
| 2 | -6.28 | -170 |
| 3 | -3.72 | -61 |
| 4 | -5.80 | -110 |